(1)
Material: BaHfIn2
Method: DFT, GGA-PBE
State: optimized geometry

Properties
crystal system: tetragonal
offset from the most stable computed form: 0.251 eV per atom

a = 5.520 Å, b = 5.520 Å, c = 10.672 Å
α = 75.01°, β = 75.01°, γ = 90.00°
Atoms (fractional coordinates):
Ba1 0.250 0.750 0.500
Ba2 0.500 0.500 0.000
In1 0.375 0.247 0.750
In2 0.997 0.625 0.250
In3 0.875 0.003 0.750
In4 0.753 0.125 0.250
Hf1 0.750 0.250 0.500
Hf2 0.000 0.000 0.000

***

(2)
Material: Ba2HfMnIn
Method: DFT, GGA-PBE
State: optimized geometry

Properties
crystal system: tetragonal
electronic total energy: -4.085 eV per atom

a = 6.555 Å, b = 5.042 Å, c = 6.555 Å
α = 90.00°, β = 90.00°, γ = 90.00°
Atoms (fractional coordinates):
Ba1 0.000 0.000 0.500
Ba2 0.500 0.000 0.000
Mn1 0.000 0.500 0.000
In1 0.000 0.000 0.000
Hf1 0.500 0.500 0.500

***

(3)
Material: BaHfIn2Mo
Method: DFT, GGA-PBE
State: optimized geometry

Properties
crystal system: tetragonal
electronic total energy: -3.895 eV per atom

a = 5.477 Å, b = 5.796 Å, c = 5.477 Å
α = 90.00°, β = 90.00°, γ = 90.00°
Atoms (fractional coordinates):
Hf1 0.000 0.000 0.000
Ba1 0.000 0.500 0.000
Mo1 0.500 0.500 0.500
In1 0.000 0.000 0.500
In2 0.500 0.000 0.000

***

(4)
Material: Ba2NaHfIn
Method: DFT, GGA-PBE
State: optimized geometry

Properties
crystal system: tetragonal
electronic total energy: -3.058 eV per atom

a = 6.355 Å, b = 5.671 Å, c = 6.355 Å
α = 90.00°, β = 90.00°, γ = 90.00°
Atoms (fractional coordinates):
In1 0.000 0.500 0.000
Ba1 0.500 0.000 0.000
Ba2 0.000 0.000 0.500
Hf1 0.000 0.000 0.000
Na1 0.500 0.500 0.500

***

(5)
Material: BaHfTiInO6
Method: DFT, GGA-PBE
State: optimized geometry

Properties
E_form (uncorrected): -2689.2 meV/atom
crystal system: cubic

a = 5.757 Å, b = 5.757 Å, c = 5.757 Å
α = 60.00°, β = 60.00°, γ = 60.00°
Atoms (fractional coordinates):
Ba1 0.250 0.250 0.250
Hf1 0.000 0.000 0.000
O1 0.256 0.744 0.256
O2 0.744 0.256 0.744
O3 0.744 0.744 0.256
O4 0.744 0.256 0.256
O5 0.256 0.744 0.744
O6 0.256 0.256 0.744
Ti1 0.500 0.500 0.500
In1 0.750 0.750 0.750

***

(6)
Material: BaHfIn2P
Method: DFT, GGA-PBE
State: optimized geometry

Properties
crystal system: tetragonal
electronic total energy: -4.440 eV per atom

a = 5.609 Å, b = 5.093 Å, c = 5.609 Å
α = 90.00°, β = 90.00°, γ = 90.00°
Atoms (fractional coordinates):
P1 0.000 0.000 0.000
Ba1 0.500 0.500 0.500
In1 0.500 0.000 0.000
In2 0.000 0.000 0.500
Hf1 0.000 0.500 0.000

***

(7)
Material: Ba2HfInS5
Method: DFT, GGA-PBE
State: optimized geometry

Properties
E_form (uncorrected): -1497.2 meV/atom
crystal system: orthorhombic

a = 4.117 Å, b = 9.211 Å, c = 12.887 Å
α = 90.00°, β = 90.00°, γ = 102.91°
Atoms (fractional coordinates):
Ba1 0.883 0.766 0.189
Ba2 0.117 0.234 0.689
Ba3 0.861 0.722 0.805
Ba4 0.139 0.278 0.305
S1 0.349 0.697 0.002
S2 0.505 0.010 0.273
S3 0.063 0.126 0.058
S4 0.311 0.621 0.384
S5 0.689 0.379 0.884
S6 0.937 0.874 0.558
S7 0.713 0.425 0.146
S8 0.651 0.303 0.502
S9 0.495 0.990 0.773
S10 0.287 0.575 0.646
Hf1 0.787 0.574 0.519
Hf2 0.213 0.426 0.019
In1 0.547 0.094 0.948
In2 0.453 0.906 0.448

***

(8)
Material: BaHf2InSe
Method: DFT, GGA-PBE
State: optimized geometry

Properties
E_form (uncorrected): 772.9 meV/atom
crystal system: tetragonal

a = 5.293 Å, b = 6.585 Å, c = 5.293 Å
α = 90.00°, β = 90.00°, γ = 90.00°
Atoms (fractional coordinates):
Hf1 0.500 0.000 0.000
Hf2 0.000 0.000 0.500
Ba1 0.000 0.500 0.000
In1 0.000 0.000 0.000
Se1 0.500 0.500 0.500

***

For the records above, the corresponding magnetization values read 0.00, 1.61, 0.78, 0.75, 0.00, 0.07, 0.00, 1.47 μB/f.u..
For the records above, the corresponding calculated volume values read 37.830, 43.323, 34.773, 45.810, 13.491, 32.051, 26.462, 36.898 Å³/atom.